[1]
A PBEsol-optimized structure of RbSn2Pb2, computed with SCAN.

Lattice parameters (Å, degrees): 5.073 5.073 13.571 90.00 90.00 90.00
Space group I4/mmm (No. 139)
Inequivalent atoms, fractional coordinates:
Rb  0.000  0.000  0.000 [2 per cell]
Sn  0.000  0.500  0.250 [4 per cell]
Pb  0.000  0.000  0.379 [4 per cell]

ΔH_f (0 K), eV per formula unit: -1.0
Energy above the most stable polymorph in this dataset, meV/atom: 0

---

[2]
A PBEsol-optimized structure of Ba3NiO4, computed with SCAN.

Lattice parameters (Å, degrees): 7.7892 7.7892 16.6014 90.00 90.00 120.00
Space group R-3c (No. 167, hexagonal axes)
Inequivalent atoms, fractional coordinates:
Ba  0.0000  0.4143  0.2500 [18 per cell]
Ni  0.0000  0.0000  0.2500 [6 per cell]
O  0.0000  0.0000  0.0000 [6 per cell]
O  0.0000  0.2330  0.7500 [18 per cell]

Uncorrected formation energy, eV per atom: -2.346

---

Calculated total energy, respectively: -49.024, -22.315 eV/atom.